# 1
! HfZrTi2Mo | Alexandria | PBE-GGA | optimized geometry; values from VASP
! - space-group type = No. 123
! - density of states at the Fermi level (states/eV/f.u.) = 9.3
! - energy of formation from the pure elements (eV per atom) = 0.70
! - theoretical density (g/cm3) = 6.88
! - calculated total energy (eV for the cell shown) = -41.61
! - crystal system = tetragonal
&SYSTEM
  ibrav = 0, nat = 5, ntyp = 4
/
ATOMIC_SPECIES
Mo 95.94 Mo.upf
Hf 178.49 Hf.upf
Zr 91.22 Zr.upf
Ti 47.87 Ti.upf
CELL_PARAMETERS angstrom
4.710 0.000 0.000
0.000 5.018 0.000
0.000 0.000 4.710
ATOMIC_POSITIONS crystal
Mo 0.000 0.000 0.000
Hf 0.500 0.500 0.500
Zr 0.000 0.500 0.000
Ti 0.000 0.000 0.500
Ti 0.500 0.000 0.000

# 2
! HfTl2Mo | Alexandria | PBE-GGA | optimized geometry; values from VASP
! - space-group type = No. 122
! - density of states at the Fermi level (states/eV/f.u.) = 2.2
! - energy of formation from the pure elements (eV per atom) = 0.77
! - theoretical density (g/cm3) = 12.48
! - calculated total energy (eV for the cell shown) = -44.88
! - crystal system = tetragonal
! - relative energy among the computed polymorphs (meV/atom) = 188
&SYSTEM
  ibrav = 0, nat = 8, ntyp = 3
/
ATOMIC_SPECIES
Tl 204.38 Tl.upf
Hf 178.49 Hf.upf
Mo 95.94 Mo.upf
CELL_PARAMETERS angstrom
-0.790 0.479 7.766
-2.185 -7.505 0.241
1.350 -4.328 4.342
ATOMIC_POSITIONS crystal
Tl 0.612 0.125 0.250
Tl 0.138 0.625 0.250
Tl 0.375 0.388 0.750
Tl 0.875 0.862 0.750
Hf 0.000 0.000 0.000
Hf 0.750 0.250 0.500
Mo 0.500 0.500 0.000
Mo 0.250 0.750 0.500

# 3
! Hf3TlMo | Alexandria | PBE-GGA | optimized geometry; values from VASP
! - space-group type = No. 221
! - density of states at the Fermi level (states/eV/f.u.) = 6.1
! - energy of formation from the pure elements (eV per atom) = 1.89
! - theoretical density (g/cm3) = 10.10
! - calculated total energy (eV for the cell shown) = -33.59
! - crystal system = cubic
! - relative energy among the computed polymorphs (meV/atom) = 1137
&SYSTEM
  ibrav = 0, nat = 5, ntyp = 3
/
ATOMIC_SPECIES
Tl 204.38 Tl.upf
Hf 178.49 Hf.upf
Mo 95.94 Mo.upf
CELL_PARAMETERS angstrom
5.160 0.000 0.000
0.000 5.160 0.000
0.000 0.000 5.160
ATOMIC_POSITIONS crystal
Tl 0.000 0.000 0.000
Hf 0.000 0.500 0.000
Hf 0.000 0.000 0.500
Hf 0.500 0.000 0.000
Mo 0.500 0.500 0.500

# 4
! Hf3TlMo | Alexandria | PBE-GGA | optimized geometry; values from VASP
! - space-group type = No. 221
! - density of states at the Fermi level (states/eV/f.u.) = 8.2
! - energy of formation from the pure elements (eV per atom) = 0.76
! - theoretical density (g/cm3) = 10.79
! - calculated total energy (eV for the cell shown) = -39.28
! - crystal system = cubic
! - relative energy among the computed polymorphs (meV/atom) = 0
&SYSTEM
  ibrav = 0, nat = 5, ntyp = 3
/
ATOMIC_SPECIES
Tl 204.38 Tl.upf
Hf 178.49 Hf.upf
Mo 95.94 Mo.upf
CELL_PARAMETERS angstrom
-1.019 -4.325 -2.396
2.399 1.706 -4.101
4.323 -1.967 1.711
ATOMIC_POSITIONS crystal
Tl 0.500 0.500 0.500
Hf 0.000 0.500 0.000
Hf 0.000 0.000 0.500
Hf 0.500 0.000 0.000
Mo 0.000 0.000 0.000

# 5
! Hf5Tl2Mo | Alexandria | PBE-GGA | optimized geometry; values from VASP
! - space-group type = No. 139
! - density of states at the Fermi level (states/eV/f.u.) = 9.8
! - energy of formation from the pure elements (eV per atom) = 0.03
! - theoretical density (g/cm3) = 13.59
! - calculated total energy (eV for the cell shown) = -65.09
! - crystal system = tetragonal
&SYSTEM
  ibrav = 0, nat = 8, ntyp = 3
/
ATOMIC_SPECIES
Hf 178.49 Hf.upf
Tl 204.38 Tl.upf
Mo 95.94 Mo.upf
CELL_PARAMETERS angstrom
-4.385 0.509 -2.413
-2.397 -2.041 3.924
2.610 6.893 1.954
ATOMIC_POSITIONS crystal
Hf 0.500 0.500 0.000
Hf 0.885 0.385 0.770
Hf 0.385 0.885 0.770
Hf 0.115 0.615 0.230
Hf 0.615 0.115 0.230
Tl 0.750 0.750 0.500
Tl 0.250 0.250 0.500
Mo 0.000 0.000 0.000

# 6
! HfTl2Mo | Alexandria | PBE-GGA | optimized geometry; values from VASP
! - space-group type = No. 225
! - density of states at the Fermi level (states/eV/f.u.) = 3.5
! - energy of formation from the pure elements (eV per atom) = 0.58
! - theoretical density (g/cm3) = 13.79
! - calculated total energy (eV for the cell shown) = -23.19
! - crystal system = cubic
! - relative energy among the computed polymorphs (meV/atom) = 0
&SYSTEM
  ibrav = 0, nat = 4, ntyp = 3
/
ATOMIC_SPECIES
Tl 204.38 Tl.upf
Hf 178.49 Hf.upf
Mo 95.94 Mo.upf
CELL_PARAMETERS angstrom
0.000 3.452 3.452
3.452 0.000 3.452
3.452 3.452 0.000
ATOMIC_POSITIONS crystal
Tl 0.250 0.250 0.250
Tl 0.750 0.750 0.750
Hf 0.500 0.500 0.500
Mo 0.000 0.000 0.000

# 7
! HfTl3Mo | Alexandria | PBE-GGA | optimized geometry; values from VASP
! - space-group type = No. 221
! - density of states at the Fermi level (states/eV/f.u.) = 7.4
! - energy of formation from the pure elements (eV per atom) = 1.21
! - theoretical density (g/cm3) = 9.86
! - calculated total energy (eV for the cell shown) = -21.81
! - crystal system = cubic
! - relative energy among the computed polymorphs (meV/atom) = 0
&SYSTEM
  ibrav = 0, nat = 5, ntyp = 3
/
ATOMIC_SPECIES
Tl 204.38 Tl.upf
Hf 178.49 Hf.upf
Mo 95.94 Mo.upf
CELL_PARAMETERS angstrom
5.307 0.000 0.000
0.000 5.307 0.000
0.000 0.000 5.307
ATOMIC_POSITIONS crystal
Tl 0.000 0.500 0.000
Tl 0.000 0.000 0.500
Tl 0.500 0.000 0.000
Hf 0.500 0.500 0.500
Mo 0.000 0.000 0.000

# 8
! HfTlMoW2 | Alexandria | PBE-GGA | optimized geometry; values from VASP
! - space-group type = No. 123
! - density of states at the Fermi level (states/eV/f.u.) = 9.4
! - energy of formation from the pure elements (eV per atom) = 1.76
! - theoretical density (g/cm3) = 12.16
! - calculated total energy (eV for the cell shown) = -40.28
! - crystal system = tetragonal
&SYSTEM
  ibrav = 0, nat = 5, ntyp = 4
/
ATOMIC_SPECIES
Tl 204.38 Tl.upf
Hf 178.49 Hf.upf
Mo 95.94 Mo.upf
W 183.84 W.upf
CELL_PARAMETERS angstrom
4.753 0.000 0.000
0.000 5.119 0.000
0.000 0.000 4.753
ATOMIC_POSITIONS crystal
Tl 0.000 0.500 0.000
Hf 0.500 0.500 0.500
Mo 0.000 0.000 0.000
W 0.000 0.000 0.500
W 0.500 0.000 0.000

# 9
! HfZrTlMo | Alexandria | PBE-GGA | optimized geometry; values from VASP
! - space-group type = No. 216
! - density of states at the Fermi level (states/eV/f.u.) = 3.2
! - energy of formation from the pure elements (eV per atom) = 0.07
! - theoretical density (g/cm3) = 11.58
! - calculated total energy (eV for the cell shown) = -31.42
! - crystal system = cubic
&SYSTEM
  ibrav = 0, nat = 4, ntyp = 4
/
ATOMIC_SPECIES
Tl 204.38 Tl.upf
Hf 178.49 Hf.upf
Mo 95.94 Mo.upf
Zr 91.22 Zr.upf
CELL_PARAMETERS angstrom
-4.511 -0.320 1.811
-2.692 -3.970 -0.854
-0.957 -3.119 3.618
ATOMIC_POSITIONS crystal
Tl 0.000 0.000 0.000
Hf 0.750 0.750 0.750
Mo 0.500 0.500 0.500
Zr 0.250 0.250 0.250

# 10
! TmHfMo | Alexandria | PBE-GGA | optimized geometry; values from VASP
! - space-group type = No. 107
! - density of states at the Fermi level (states/eV/f.u.) = 3.4
! - energy of formation from the pure elements (eV per atom) = 0.09
! - theoretical density (g/cm3) = 11.09
! - calculated total energy (eV for the cell shown) = -24.98
! - crystal system = tetragonal
! - relative energy among the computed polymorphs (meV/atom) = 0
&SYSTEM
  ibrav = 0, nat = 3, ntyp = 3
/
ATOMIC_SPECIES
Mo 95.94 Mo.upf
Tm 168.93 Tm.upf
Hf 178.49 Hf.upf
CELL_PARAMETERS angstrom
-1.233 1.124 -3.054
-3.060 0.711 1.498
3.891 4.145 1.938
ATOMIC_POSITIONS crystal
Mo 0.685 0.685 0.370
Tm 0.014 0.014 0.029
Hf 0.301 0.301 0.601

# 11
! TmHfMo4 | Alexandria | PBE-GGA | optimized geometry; values from VASP
! - space-group type = No. 216
! - density of states at the Fermi level (states/eV/f.u.) = 5.7
! - energy of formation from the pure elements (eV per atom) = -0.05
! - theoretical density (g/cm3) = 10.81
! - calculated total energy (eV for the cell shown) = -58.05
! - crystal system = cubic
&SYSTEM
  ibrav = 0, nat = 6, ntyp = 3
/
ATOMIC_SPECIES
Mo 95.94 Mo.upf
Tm 168.93 Tm.upf
Hf 178.49 Hf.upf
CELL_PARAMETERS angstrom
-5.297 1.113 -0.202
-3.251 -1.560 4.042
-2.121 3.691 3.348
ATOMIC_POSITIONS crystal
Mo 0.625 0.625 0.125
Mo 0.625 0.125 0.625
Mo 0.625 0.625 0.625
Mo 0.125 0.625 0.625
Tm 0.250 0.250 0.250
Hf 0.000 0.000 0.000

# 12
! TmHfMo | Alexandria | PBE-GGA | optimized geometry; values from VASP
! - space-group type = No. 166
! - density of states at the Fermi level (states/eV/f.u.) = 3.9
! - energy of formation from the pure elements (eV per atom) = 0.25
! - theoretical density (g/cm3) = 10.96
! - calculated total energy (eV for the cell shown) = -48.99
! - crystal system = trigonal
! - relative energy among the computed polymorphs (meV/atom) = 163
&SYSTEM
  ibrav = 0, nat = 6, ntyp = 3
/
ATOMIC_SPECIES
Hf 178.49 Hf.upf
Tm 168.93 Tm.upf
Mo 95.94 Mo.upf
CELL_PARAMETERS angstrom
3.240 0.000 0.000
1.620 2.806 0.000
1.620 0.935 14.785
ATOMIC_POSITIONS crystal
Hf 0.097 0.097 0.709
Hf 0.903 0.903 0.291
Tm 0.632 0.632 0.103
Tm 0.368 0.368 0.897
Mo 0.187 0.187 0.439
Mo 0.813 0.813 0.561